Computed, not measured: crystalline InI3Br at its relaxed geometry at the GGA-PBE level of DFT.

Its formation energy (no corrections) is -0.3638 eV per atom. As for the excess energy over the best structure of this formula in the dataset: 0.0 meV per atom.

It has space group P1 (No. 1), with a = 6.0294 Å, b = 7.0708 Å, c = 11.9800 Å, α = 89.97°, β = 76.33° and γ = 89.90°. The inequivalent atoms are In at (0.0000, 0.0000, 0.0000), In at (0.4997, 0.0917, 0.4999), I at (0.2297, 0.3215, 0.6617), I at (0.2433, 0.8510, 0.3911), I at (0.2608, 0.2458, 0.0996), I at (0.7310, 0.7702, 0.1618), I at (0.7426, 0.2407, 0.8911), I at (0.7617, 0.8460, 0.5997), Br at (0.2515, 0.7943, 0.8490) and Br at (0.7502, 0.2977, 0.3490).

=====

Computed, not measured: crystalline BeCrRuRh2 at its relaxed geometry at the GGA-PBE level of DFT.

As for the energy relative to the elements: 1195 meV per atom.

It has space group P4/mmm (No. 123), with a = 4.3622 Å, b = 4.3622 Å, c = 4.0759 Å, α = 90.00°, β = 90.00° and γ = 90.00°. The inequivalent atoms are Be at (0.0000, 0.0000, 0.0000), Cr at (0.0000, 0.0000, 0.5000), Ru at (0.5000, 0.5000, 0.0000) and Rh at (0.0000, 0.5000, 0.5000).

=====

Computed, not measured: crystalline Na4SmDy3Te8 at its relaxed geometry at the GGA-PBE level of DFT.

Its formation energy (no corrections) is -1.3183 eV per atom.

It has space group R-3m (No. 166, hexagonal axes), with a = 8.8932 Å, b = 8.8932 Å, c = 22.7018 Å, α = 90.00°, β = 90.00° and γ = 120.00°. The inequivalent atoms are Na at (0.0000, 0.0000, 0.0000), Na at (0.0000, 0.5000, 0.0000), Sm at (0.0000, 0.0000, 0.5000), Dy at (0.0000, 0.5000, 0.5000), Te at (0.0000, 0.0000, 0.2438) and Te at (0.0041, 0.5021, 0.7554).

=====

Computed, not measured: crystalline LiZnSe2 at its relaxed geometry at the GGA-PBE level of DFT.

Its formation energy (no corrections) is -0.1792 eV per atom. As for the excess energy over the best structure of this formula in the dataset: 425.3 meV per atom.

It has space group P4mm (No. 99), with a = 2.8495 Å, b = 2.8495 Å, c = 10.1948 Å, α = 90.00°, β = 90.00° and γ = 90.00°. The inequivalent atoms are Li at (0.0000, 0.0000, 0.0000), Zn at (0.5000, 0.5000, 0.7875), Se at (0.0000, 0.0000, 0.5728) and Se at (0.5000, 0.5000, 0.1783).

=====

Computed, not measured: crystalline ZnCuRe2 at its relaxed geometry at the GGA-PBE level of DFT.

As for the energy relative to the elements: 208 meV per atom. As for the excess energy over the best structure of this formula in the dataset: 149.2 meV per atom.

It has space group Pm (No. 6), with a = 2.6570 Å, b = 4.2617 Å, c = 5.1069 Å, α = 90.00°, β = 99.77° and γ = 90.00°. The inequivalent atoms are Zn at (0.0000, 0.0000, 0.0000), Cu at (0.0091, 0.5000, 0.2192), Re at (0.3905, 0.5000, 0.7225) and Re at (0.6115, 0.0000, 0.4898).

=====

Computed, not measured: crystalline SbOs4Se at its relaxed geometry at the GGA-PBE level of DFT.

Its formation energy (no corrections) is 1.1643 eV per atom.

It has space group F-43m (No. 216), with a = 7.5001 Å, b = 7.5001 Å, c = 7.5001 Å, α = 90.00°, β = 90.00° and γ = 90.00°. The inequivalent atoms are Sb at (0.0000, 0.0000, 0.0000), Os at (0.1249, 0.1249, 0.6249) and Se at (0.2500, 0.2500, 0.2500).

=====

Computed, not measured: crystalline Pa2CuRh at its relaxed geometry at the GGA-PBE level of DFT.

As for the energy relative to the elements: 260 meV per atom. As for the excess energy over the best structure of this formula in the dataset: 506.9 meV per atom.

It has space group R-3m (No. 166, hexagonal axes), with a = 3.0521 Å, b = 3.0521 Å, c = 31.0697 Å, α = 90.00°, β = 90.00° and γ = 120.00°. The inequivalent atoms are Pa at (0.0000, 0.0000, 0.0909), Cu at (0.0000, 0.0000, 0.0000) and Rh at (0.0000, 0.0000, 0.5000).

=====

Computed, not measured: crystalline CaDy2Pd at its relaxed geometry at the GGA-PBE level of DFT.

As for the energy relative to the elements: -306 meV per atom. As for the excess energy over the best structure of this formula in the dataset: 61.9 meV per atom.

It has space group R-3m (No. 166, hexagonal axes), with a = 4.0369 Å, b = 4.0369 Å, c = 28.1597 Å, α = 90.00°, β = 90.00° and γ = 120.00°. The inequivalent atoms are Ca at (0.0000, 0.0000, 0.0000), Dy at (0.0000, 0.0000, 0.2218) and Pd at (0.0000, 0.0000, 0.5000).

=====

Computed, not measured: crystalline LiTlCuSb at its relaxed geometry at the GGA-PBE level of DFT.

Its formation energy (no corrections) is -0.0636 eV per atom.

It has space group F-43m (No. 216), with a = 6.9088 Å, b = 6.9088 Å, c = 6.9088 Å, α = 90.00°, β = 90.00° and γ = 90.00°. The inequivalent atoms are Li at (0.0000, 0.0000, 0.0000), Tl at (0.2500, 0.2500, 0.2500), Cu at (0.0000, 0.0000, 0.5000) and Sb at (0.2500, 0.2500, 0.7500).

=====

Computed, not measured: crystalline Th2HgOs at its relaxed geometry at the GGA-PBE level of DFT.

As for the energy relative to the elements: -233 meV per atom. As for the excess energy over the best structure of this formula in the dataset: 104.9 meV per atom.

It has space group P4/mmm (No. 123), with a = 3.5182 Å, b = 3.5182 Å, c = 8.2733 Å, α = 90.00°, β = 90.00° and γ = 90.00°. The inequivalent atoms are Th at (0.0000, 0.0000, 0.2125), Hg at (0.5000, 0.5000, 0.5000) and Os at (0.5000, 0.5000, 0.0000).

=====

Computed, not measured: crystalline SiOsPt2 at its relaxed geometry at the GGA-PBE level of DFT.

Its formation energy (no corrections) is 0.1679 eV per atom.

It has space group Cmmm (No. 65), with a = 2.7788 Å, b = 4.8609 Å, c = 8.9072 Å, α = 90.00°, β = 90.00° and γ = 90.00°. The inequivalent atoms are Si at (0.0000, 0.0000, 0.0000), Os at (0.0000, 0.0000, 0.5000) and Pt at (0.0000, 0.5000, 0.2283).

=====

Computed, not measured: crystalline Si3TcGe at its relaxed geometry at the GGA-PBE level of DFT.

Its formation energy (no corrections) is 0.6052 eV per atom. As for the excess energy over the best structure of this formula in the dataset: 0.0 meV per atom.

It has space group Pm-3m (No. 221), with a = 4.6755 Å, b = 4.6755 Å, c = 4.6755 Å, α = 90.00°, β = 90.00° and γ = 90.00°. The inequivalent atoms are Si at (0.0000, 0.0000, 0.5000), Tc at (0.0000, 0.0000, 0.0000) and Ge at (0.5000, 0.5000, 0.5000).

=====

Computed, not measured: crystalline RbTeBr4 at its relaxed geometry at the GGA-PBE level of DFT.

Its formation energy (no corrections) is -0.7836 eV per atom. As for the excess energy over the best structure of this formula in the dataset: 0.0 meV per atom.

It has space group C2/c (No. 15), with a = 9.8149 Å, b = 14.9290 Å, c = 8.0895 Å, α = 90.00°, β = 124.76° and γ = 90.00°. The inequivalent atoms are Rb at (0.0000, 0.1226, 0.2500), Te at (0.0000, 0.4067, 0.7500), Br at (0.1559, 0.2765, 0.6885) and Br at (0.2028, 0.4668, 0.2483).

=====

Computed, not measured: crystalline VCdH at its relaxed geometry at the GGA-PBE level of DFT.

As for the excess energy over the best structure of this formula in the dataset: 28.0 meV per atom.

It has space group Cm (No. 8), with a = 4.9481 Å, b = 2.9579 Å, c = 10.5967 Å, α = 90.00°, β = 94.62° and γ = 90.00°. The inequivalent atoms are V at (0.0000, 0.0000, 0.0000), V at (0.0318, 0.5000, 0.1844), Cd at (0.1127, 0.5000, 0.7310), Cd at (0.2358, 0.0000, 0.4506), H at (0.3225, 0.0000, 0.9335) and H at (0.3770, 0.5000, 0.2510).